A geometry-optimized Mo3IrOs structure, computed with GGA-PBE.

Lattice parameters (Å, degrees): 4.6507 4.6507 4.6507 90.00 90.00 90.00
Positions (direct):
Mo: 0.0000 0.0000 0.5000
Mo: 0.0000 0.5000 0.0000
Mo: 0.5000 0.0000 0.0000
Ir: 0.5000 0.5000 0.5000
Os: 0.0000 0.0000 0.0000

Calculated values
**ΔE to the lowest computed polymorph**: 0.0000 eV per atom
**Total magnetic moment**: 0.000 μB per cell
**Energy**: -43.56 eV for the cell shown
**Energy of formation**: 1.8049 eV per atom
**SG**: No. 221


A geometry-optimized ZrZnIr3 structure, computed with GGA-PBE.

Lattice parameters (Å, degrees): 4.8616 4.8616 4.8616 90.00 90.00 90.00
Positions (direct):
Zr: 0.0000 0.0000 0.0000
Zn: 0.5000 0.5000 0.5000
Ir: 0.0000 0.0000 0.5000
Ir: 0.0000 0.5000 0.0000
Ir: 0.5000 0.0000 0.0000

Calculated values
**ΔE to the lowest computed polymorph**: 0.9262 eV per atom
**Total magnetic moment**: 0.000 μB per cell
**Energy**: -28.62 eV for the cell shown
**Energy of formation**: 1.5568 eV per atom
**SG**: No. 221


A geometry-optimized KMnRu structure, computed with GGA-PBE.

Lattice parameters (Å, degrees): 6.4987 6.4987 6.4987 90.00 90.00 90.00
Positions (direct):
K: 0.0000 0.0000 0.0000
K: 0.0000 0.5000 0.5000
K: 0.5000 0.0000 0.5000
K: 0.5000 0.5000 0.0000
Mn: 0.2500 0.2500 0.2500
Mn: 0.2500 0.7500 0.7500
Mn: 0.7500 0.2500 0.7500
Mn: 0.7500 0.7500 0.2500
Ru: 0.0000 0.0000 0.5000
Ru: 0.0000 0.5000 0.0000
Ru: 0.5000 0.0000 0.0000
Ru: 0.5000 0.5000 0.5000

Calculated values
**ΔE to the lowest computed polymorph**: 0.9325 eV per atom
**Total magnetic moment**: 13.439 μB per cell
**Energy**: -58.56 eV for the cell shown
**Energy of formation**: 1.6347 eV per atom
**SG**: No. 216


A geometry-optimized CrS2IN structure, computed with GGA-PBE.

Lattice parameters (Å, degrees): 5.1883 5.1883 3.9117 90.00 90.00 90.00
Positions (direct):
Cr: 0.0000 0.0000 0.0000
S: 0.0000 0.5000 0.5000
S: 0.5000 0.0000 0.5000
I: 0.5000 0.5000 0.5000
N: 0.5000 0.5000 0.0000

Calculated values
**ΔE to the lowest computed polymorph**: 0.9818 eV per atom
**Total magnetic moment**: 3.939 μB per cell
**Energy**: -20.78 eV for the cell shown
**Formation energy (no corrections)**: 6.98 eV per formula unit
**SG**: No. 123


A geometry-optimized CePrPt structure, computed with GGA-PBE.

Lattice parameters (Å, degrees): 9.0010 9.0010 9.0010 116.54 84.55 130.41
Positions (direct):
Ce: 0.0000 0.0000 0.0000
Ce: 0.0000 0.5000 0.5000
Ce: 0.4978 0.1491 0.3881
Ce: 0.4978 0.6097 0.8487
Ce: 0.7610 0.1097 0.6119
Ce: 0.7610 0.6491 0.1513
Pr: 0.1547 0.2066 0.4481
Pr: 0.1862 0.7209 0.9653
Pr: 0.3364 0.5917 0.2447
Pr: 0.3470 0.0917 0.7553
Pr: 0.7555 0.2209 0.0347
Pr: 0.7585 0.7066 0.5519
Pt: 0.0919 0.2607 0.8426
Pt: 0.0919 0.7492 0.3311
Pt: 0.4181 0.2492 0.1574
Pt: 0.4181 0.7607 0.6689
Pt: 0.7117 0.9931 0.2187
Pt: 0.7744 0.4931 0.7813

Calculated values
**ΔE to the lowest computed polymorph**: 0.0000 eV per atom
**Total magnetic moment**: 3.542 μB per cell
**Energy**: -113.63 eV for the cell shown
**Energy of formation**: -0.7283 eV per atom
**SG**: No. 46


A geometry-optimized PrSm3Y6Th2 structure, computed with GGA-PBE.

Lattice parameters (Å, degrees): 6.2540 6.2540 11.8204 95.08 95.08 119.98
Positions (direct):
Pr: 0.0000 0.0000 0.0000
Sm: 0.1662 0.8338 0.5000
Sm: 0.5000 0.5000 0.5000
Sm: 0.8338 0.1662 0.5000
Y: 0.0827 0.4210 0.2467
Y: 0.2556 0.2556 0.7531
Y: 0.4210 0.0827 0.2467
Y: 0.5790 0.9173 0.7533
Y: 0.7444 0.7444 0.2469
Y: 0.9173 0.5790 0.7533
Th: 0.3334 0.6666 0.0000
Th: 0.6666 0.3334 0.0000

Calculated values
**Total magnetic moment**: 0.000 μB per cell
**Energy**: -72.23 eV for the cell shown
**Energy of formation**: 0.0272 eV per atom
**SG**: No. 12


A geometry-optimized YTl2Si structure, computed with GGA-PBE.

Lattice parameters (Å, degrees): 7.4296 7.4296 7.4296 90.00 90.00 90.00
Positions (direct):
Y: 0.0000 0.0000 0.0000
Y: 0.0000 0.5000 0.5000
Y: 0.5000 0.0000 0.5000
Y: 0.5000 0.5000 0.0000
Tl: 0.2500 0.2500 0.2500
Tl: 0.2500 0.2500 0.7500
Tl: 0.2500 0.7500 0.2500
Tl: 0.2500 0.7500 0.7500
Tl: 0.7500 0.2500 0.2500
Tl: 0.7500 0.2500 0.7500
Tl: 0.7500 0.7500 0.2500
Tl: 0.7500 0.7500 0.7500
Si: 0.0000 0.0000 0.5000
Si: 0.0000 0.5000 0.0000
Si: 0.5000 0.0000 0.0000
Si: 0.5000 0.5000 0.5000

Calculated values
**ΔE to the lowest computed polymorph**: 0.2890 eV per atom
**Total magnetic moment**: 0.000 μB per cell
**Energy**: -63.81 eV for the cell shown
**Formation energy (no corrections)**: 0.67 eV per formula unit
**SG**: No. 225


A geometry-optimized BaZn2AsH2 structure, computed with GGA-PBE.

Lattice parameters (Å, degrees): 6.5067 5.7054 6.8026 90.00 114.81 90.00
Positions (direct):
Ba: 0.2071 0.2500 0.3122
Ba: 0.7929 0.7500 0.6878
Zn: 0.3257 0.5014 0.7945
Zn: 0.3257 0.9986 0.7945
Zn: 0.6743 0.0014 0.2055
Zn: 0.6743 0.4986 0.2055
As: 0.3091 0.7500 0.1071
As: 0.6909 0.2500 0.8929
H: 0.1437 0.2500 0.6954
H: 0.3195 0.7500 0.6263
H: 0.6805 0.2500 0.3737
H: 0.8563 0.7500 0.3046

Calculated values
**Total magnetic moment**: 0.000 μB per cell
**Energy**: -34.84 eV for the cell shown
**SG**: No. 11


A geometry-optimized CaSn2P2 structure, computed with GGA-PBE.

Lattice parameters (Å, degrees): 7.5578 7.5578 3.9770 90.00 90.00 90.00
Positions (direct):
Ca: 0.0000 0.0000 0.0000
Ca: 0.5000 0.5000 0.0000
Sn: 0.1526 0.3474 0.5000
Sn: 0.3474 0.8474 0.5000
Sn: 0.6526 0.1526 0.5000
Sn: 0.8474 0.6526 0.5000
P: 0.1503 0.6503 0.0000
P: 0.3497 0.1503 0.0000
P: 0.6503 0.8497 0.0000
P: 0.8497 0.3497 0.0000

Calculated values
**Total magnetic moment**: 0.000 μB per cell
**Energy**: -43.58 eV for the cell shown
**Energy of formation**: -0.1923 eV per atom
**SG**: No. 127


A geometry-optimized DyNpTlO6 structure, computed with GGA-PBE.

Lattice parameters (Å, degrees): 5.6051 5.6051 9.9029 90.00 90.00 120.00
Positions (direct):
Dy: 0.0000 0.0000 0.0000
Dy: 0.0000 0.0000 0.5000
Np: 0.3333 0.6667 0.2500
Np: 0.6667 0.3333 0.7500
Tl: 0.3333 0.6667 0.7500
Tl: 0.6667 0.3333 0.2500
O: 0.0294 0.3539 0.1313
O: 0.0294 0.6755 0.3687
O: 0.3245 0.3539 0.3687
O: 0.3245 0.9706 0.1313
O: 0.3539 0.0294 0.6313
O: 0.3539 0.3245 0.8687
O: 0.6461 0.6755 0.1313
O: 0.6461 0.9706 0.3687
O: 0.6755 0.0294 0.8687
O: 0.6755 0.6461 0.6313
O: 0.9706 0.3245 0.6313
O: 0.9706 0.6461 0.8687

Calculated values
**Total magnetic moment**: 2.000 μB per cell
**Energy**: -141.65 eV for the cell shown
**Formation energy (no corrections)**: -21.17 eV per formula unit
**SG**: No. 163


Q: Look up the total magnetic moment of the eighth one.
A: 0.000 μB per cell